1.
Computed, not measured: an optimized crystal structure of LiCrP4O12 at the GGA-PBEsol level of DFT.

Cell and atoms, written as POSCAR:
```
LiCrP4O12
1.0
-4.145 2.868 -0.835
-1.179 -1.732 6.874
6.620 10.681 3.827
O P Li Cr
24 8 2 2
Direct
0.055 0.704 0.873 O
0.945 0.296 0.373 O
0.628 0.029 0.087 O
0.941 0.514 0.029 O
0.653 0.854 0.260 O
0.779 0.369 0.869 O
0.605 0.683 0.789 O
0.015 0.172 0.616 O
0.280 0.422 0.908 O
0.995 0.132 0.209 O
0.828 0.989 0.873 O
0.172 0.011 0.373 O
0.221 0.631 0.369 O
0.395 0.317 0.289 O
0.005 0.868 0.709 O
0.308 0.601 0.155 O
0.059 0.486 0.529 O
0.372 0.971 0.587 O
0.720 0.578 0.408 O
0.347 0.146 0.760 O
0.692 0.399 0.655 O
0.179 0.478 0.709 O
0.821 0.522 0.209 O
0.985 0.828 0.116 O
0.023 0.616 0.134 P
0.215 0.042 0.668 P
0.148 0.181 0.314 P
0.785 0.958 0.168 P
0.852 0.819 0.814 P
0.977 0.384 0.634 P
0.981 0.506 0.413 P
0.019 0.494 0.913 P
0.632 0.123 0.953 Li
0.368 0.877 0.453 Li
0.485 0.415 0.780 Cr
0.515 0.585 0.280 Cr
```

Summary:
**Energy relative to the elements, uncorrected**: -2.141 eV per atom
**Fermi-level density of states**: 0.00 states/eV/cell
**Space group**: P2_1 (4)
**Electronic total energy**: -7.606 eV/atom

2.
Computed, not measured: an optimized crystal structure of LiZnCr3S6O24 at the GGA-PBEsol level of DFT.

Cell and atoms, written as POSCAR:
```
LiZnCr3S6O24
1.0
-5.422 -3.387 5.043
2.312 -6.136 4.897
0.788 1.686 8.574
O S Cr Zn Li
24 6 3 1 1
Direct
0.379 0.757 0.225 O
0.294 0.971 0.386 O
0.297 0.108 0.071 O
0.000 0.339 0.710 O
0.643 0.379 0.217 O
0.117 0.497 0.091 O
0.761 0.639 0.222 O
0.681 0.898 0.926 O
0.032 0.662 0.595 O
0.498 0.682 0.926 O
0.951 0.364 0.411 O
0.614 0.242 0.762 O
0.349 0.296 0.385 O
0.666 0.703 0.606 O
0.950 0.013 0.707 O
0.042 0.987 0.297 O
0.240 0.380 0.766 O
0.339 0.946 0.707 O
0.385 0.606 0.769 O
0.712 0.018 0.606 O
0.523 0.288 0.073 O
0.987 0.685 0.289 O
0.673 0.042 0.302 O
0.895 0.512 0.918 O
0.254 0.956 0.248 S
0.746 0.036 0.750 S
0.467 0.741 0.753 S
0.040 0.473 0.747 S
0.956 0.544 0.252 S
0.543 0.252 0.248 S
0.643 0.645 0.069 Cr
0.355 0.348 0.938 Cr
0.852 0.851 0.450 Cr
0.165 0.143 0.545 Zn
0.765 0.417 0.639 Li
```

Summary:
**Energy relative to the elements, uncorrected**: -1.541 eV per atom
**Space group**: P1 (1)
**Electronic total energy**: -6.872 eV/atom

3.
Computed, not measured: an optimized crystal structure of Li2Cr3SbO8 at the GGA-PBEsol level of DFT.

Cell and atoms, written as POSCAR:
```
Li2Cr3SbO8
1.0
-0.406 2.044 5.474
-3.646 -4.200 -1.836
6.140 -6.608 2.924
Li Cr O Sb
4 6 16 2
Direct
0.000 0.000 0.493 Li
0.667 0.333 0.402 Li
0.000 0.000 0.993 Li
0.333 0.667 0.902 Li
0.339 0.170 0.714 Cr
0.830 0.661 0.714 Cr
0.830 0.170 0.714 Cr
0.170 0.830 0.214 Cr
0.170 0.339 0.214 Cr
0.661 0.830 0.214 Cr
0.482 0.964 0.340 O
0.163 0.837 0.597 O
0.518 0.482 0.840 O
0.333 0.667 0.109 O
0.000 0.000 0.807 O
0.673 0.837 0.597 O
0.036 0.518 0.340 O
0.327 0.163 0.097 O
0.964 0.482 0.840 O
0.837 0.163 0.097 O
0.667 0.333 0.609 O
0.837 0.673 0.097 O
0.482 0.518 0.340 O
0.518 0.036 0.840 O
0.163 0.327 0.597 O
0.000 0.000 0.307 O
0.333 0.667 0.489 Sb
0.667 0.333 0.989 Sb
```

Summary:
**Excess energy over the best structure of this formula in the dataset**: 0.00 kJ/mol of atoms
**Energy relative to the elements, uncorrected**: -1.908 eV per atom
**Fermi-level density of states**: 1.42 states/eV/cell
**Space group**: P6_3mc (186)
**Electronic total energy**: -7.708 eV/atom

4.
Computed, not measured: an optimized crystal structure of Li6Cr3Sb3O16 at the GGA-PBEsol level of DFT.

Cell and atoms, written as POSCAR:
```
Li6Cr3Sb3O16
1.0
-5.917 0.663 0.191
-3.146 0.007 -5.059
-0.668 -9.836 0.876
Cr O Li Sb
3 16 6 3
Direct
0.662 0.172 0.215 Cr
0.835 0.835 0.715 Cr
0.172 0.662 0.215 Cr
0.844 0.844 0.124 O
0.524 0.984 0.819 O
0.005 0.005 0.822 O
0.037 0.496 0.324 O
0.668 0.668 0.602 O
0.984 0.524 0.819 O
0.332 0.332 0.104 O
0.490 0.490 0.310 O
0.837 0.301 0.106 O
0.003 0.003 0.316 O
0.690 0.151 0.610 O
0.151 0.690 0.610 O
0.301 0.837 0.106 O
0.151 0.151 0.600 O
0.519 0.519 0.828 O
0.496 0.037 0.324 O
0.338 0.338 0.896 Li
0.673 0.673 0.373 Li
0.659 0.659 0.033 Li
0.333 0.333 0.499 Li
0.975 0.975 0.491 Li
0.978 0.978 0.003 Li
0.836 0.340 0.715 Sb
0.169 0.169 0.215 Sb
0.340 0.836 0.715 Sb
```

Summary:
**Energy relative to the elements, uncorrected**: -1.793 eV per atom
**Fermi-level density of states**: 7.82 states/eV/cell
**Space group**: Cm (8)
**Electronic total energy**: -6.800 eV/atom

5.
Computed, not measured: an optimized crystal structure of Li2Cr3SbO8 at the GGA-PBEsol level of DFT.

Cell and atoms, written as POSCAR:
```
Li2Cr3SbO8
1.0
5.888 0.000 0.000
2.944 5.099 0.000
2.944 1.700 4.916
O Cr Li Sb
8 3 2 1
Direct
0.261 0.261 0.763 O
0.266 0.266 0.202 O
0.734 0.734 0.798 O
0.261 0.716 0.763 O
0.716 0.261 0.763 O
0.739 0.284 0.237 O
0.284 0.739 0.237 O
0.739 0.739 0.237 O
0.000 0.500 0.000 Cr
0.500 0.500 0.000 Cr
0.500 0.000 0.000 Cr
0.130 0.130 0.611 Li
0.870 0.870 0.389 Li
0.500 0.500 0.500 Sb
```

Summary:
**Excess energy over the best structure of this formula in the dataset**: 1.03 kJ/mol of atoms
**Energy relative to the elements, uncorrected**: -1.897 eV per atom
**Fermi-level density of states**: 2.48 states/eV/cell
**Space group**: R-3m (166)
**Electronic total energy**: -7.698 eV/atom

6.
Computed, not measured: an optimized crystal structure of Li4CrSbTe2O12 at the GGA-PBEsol level of DFT.

Cell and atoms, written as POSCAR:
```
Li4CrSbTe2O12
1.0
5.084 0.000 -0.002
-0.004 5.344 -0.013
-0.004 -0.485 7.361
Te Li O Sb Cr
2 4 12 1 1
Direct
0.000 0.002 0.499 Te
0.500 0.502 0.999 Te
0.997 0.594 0.192 Li
0.504 0.051 0.739 Li
0.002 0.583 0.732 Li
0.496 0.063 0.195 Li
0.185 0.680 0.949 O
0.671 0.165 0.437 O
0.637 0.474 0.748 O
0.308 0.810 0.580 O
0.695 0.800 0.070 O
0.359 0.484 0.250 O
0.323 0.182 0.951 O
0.800 0.308 0.073 O
0.875 0.972 0.744 O
0.128 0.983 0.257 O
0.833 0.672 0.438 O
0.186 0.308 0.581 O
0.501 0.501 0.496 Sb
0.000 0.009 0.999 Cr
```

Summary:
**Energy relative to the elements, uncorrected**: -1.580 eV per atom
**Fermi-level density of states**: 1.86 states/eV/cell
**Space group**: P1 (1)
**Electronic total energy**: -6.216 eV/atom

7.
Computed, not measured: an optimized crystal structure of Li4CrSbW2O12 at the GGA-PBEsol level of DFT.

Cell and atoms, written as POSCAR:
```
Li4CrSbW2O12
1.0
5.070 0.003 -0.003
-0.001 5.346 -0.007
-0.008 -0.514 7.352
Li O W Sb Cr
4 12 2 1 1
Direct
0.005 0.580 0.732 Li
0.495 0.052 0.202 Li
0.997 0.591 0.197 Li
0.504 0.940 0.794 Li
0.697 0.800 0.054 O
0.202 0.695 0.946 O
0.887 0.991 0.745 O
0.630 0.504 0.748 O
0.366 0.496 0.246 O
0.305 0.813 0.572 O
0.680 0.177 0.433 O
0.803 0.309 0.059 O
0.316 0.193 0.948 O
0.820 0.686 0.435 O
0.177 0.313 0.568 O
0.115 0.994 0.257 O
0.996 0.008 0.500 W
0.504 0.494 0.997 W
0.498 0.501 0.495 Sb
0.002 0.005 0.000 Cr
```

Summary:
**Energy relative to the elements, uncorrected**: -2.037 eV per atom
**Fermi-level density of states**: 0.51 states/eV/cell
**Space group**: P1 (1)
**Electronic total energy**: -7.700 eV/atom

8.
Computed, not measured: an optimized crystal structure of Li2CrSi6O15 at the GGA-PBEsol level of DFT.

Cell and atoms, written as POSCAR:
```
Li2CrSi6O15
1.0
7.758 0.000 0.000
3.879 8.832 -0.009
3.879 3.338 8.177
O Si Li Cr
30 12 4 2
Direct
0.066 0.268 0.599 O
0.605 0.158 0.982 O
0.895 0.518 0.342 O
0.873 0.230 0.024 O
0.127 0.770 0.976 O
0.934 0.732 0.401 O
0.805 0.233 0.491 O
0.971 0.991 0.733 O
0.195 0.767 0.509 O
0.627 0.476 0.270 O
0.998 0.677 0.823 O
0.434 0.901 0.232 O
0.745 0.842 0.018 O
0.502 0.677 0.823 O
0.105 0.482 0.658 O
0.529 0.767 0.509 O
0.255 0.158 0.982 O
0.305 0.991 0.733 O
0.498 0.323 0.177 O
0.029 0.009 0.267 O
0.245 0.518 0.342 O
0.250 0.050 0.450 O
0.566 0.099 0.768 O
0.373 0.524 0.730 O
0.755 0.482 0.658 O
0.471 0.233 0.491 O
0.395 0.842 0.018 O
0.695 0.009 0.267 O
0.750 0.950 0.550 O
0.002 0.323 0.177 O
0.649 0.120 0.581 Si
0.456 0.389 0.317 Si
0.956 0.817 0.889 Si
0.149 0.081 0.620 Si
0.044 0.183 0.111 Si
0.338 0.817 0.889 Si
0.544 0.611 0.683 Si
0.838 0.389 0.317 Si
0.351 0.880 0.419 Si
0.662 0.183 0.111 Si
0.851 0.919 0.380 Si
0.162 0.611 0.683 Si
0.245 0.755 0.255 Li
0.745 0.755 0.255 Li
0.255 0.245 0.745 Li
0.755 0.245 0.745 Li
0.500 0.000 0.000 Cr
0.000 0.500 0.500 Cr
```

Summary:
**Energy relative to the elements, uncorrected**: -2.560 eV per atom
**Fermi-level density of states**: 14.85 states/eV/cell
**Space group**: Imma (74)
**Electronic total energy**: -7.868 eV/atom

9.
Computed, not measured: an optimized crystal structure of LiCrSnO4 at the GGA-PBEsol level of DFT.

Cell and atoms, written as POSCAR:
```
LiCrSnO4
1.0
5.918 0.000 0.000
2.959 5.279 -0.014
2.959 1.617 5.025
O Sn Li Cr
8 2 2 2
Direct
0.258 0.207 0.276 O
0.742 0.224 0.293 O
0.750 0.236 0.736 O
0.250 0.764 0.264 O
0.742 0.793 0.724 O
0.722 0.764 0.264 O
0.278 0.236 0.736 O
0.258 0.776 0.707 O
0.500 0.500 0.500 Sn
0.500 0.000 0.000 Sn
0.126 0.624 0.124 Li
0.874 0.376 0.876 Li
0.500 0.000 0.500 Cr
0.000 0.000 0.500 Cr
```

Summary:
**Excess energy over the best structure of this formula in the dataset**: 0.00 kJ/mol of atoms
**Energy relative to the elements, uncorrected**: -1.871 eV per atom
**Space group**: Imma (74)
**Electronic total energy**: -7.223 eV/atom

10.
Computed, not measured: an optimized crystal structure of LiCrSnO4 at the GGA-PBEsol level of DFT.

Cell and atoms, written as POSCAR:
```
LiCrSnO4
1.0
6.009 0.000 0.000
0.000 6.009 0.000
0.000 0.000 8.354
O Cr Li Sn
16 4 4 4
Direct
0.522 0.264 0.765 O
0.264 0.522 0.485 O
0.736 0.522 0.515 O
0.522 0.736 0.735 O
0.973 0.264 0.747 O
0.736 0.478 0.985 O
0.264 0.973 0.503 O
0.736 0.027 0.003 O
0.973 0.736 0.753 O
0.027 0.264 0.253 O
0.027 0.736 0.247 O
0.478 0.736 0.265 O
0.264 0.027 0.997 O
0.264 0.478 0.015 O
0.478 0.264 0.235 O
0.736 0.973 0.497 O
0.756 0.500 0.750 Cr
0.500 0.756 0.500 Cr
0.500 0.244 0.000 Cr
0.244 0.500 0.250 Cr
0.000 0.763 0.500 Li
0.237 0.000 0.250 Li
0.763 0.000 0.750 Li
0.000 0.237 0.000 Li
0.749 0.749 0.125 Sn
0.251 0.251 0.625 Sn
0.251 0.749 0.875 Sn
0.749 0.251 0.375 Sn
```

Summary:
**Excess energy over the best structure of this formula in the dataset**: 8.00 kJ/mol of atoms
**Energy relative to the elements, uncorrected**: -1.788 eV per atom
**Fermi-level density of states**: 4.66 states/eV/cell
**Space group**: P4_322 (95)
**Electronic total energy**: -7.141 eV/atom

11.
Computed, not measured: an optimized crystal structure of Li2Cr2SnO6 at the GGA-PBEsol level of DFT.

Cell and atoms, written as POSCAR:
```
Li2Cr2SnO6
1.0
-4.980 -0.517 1.295
3.034 -4.230 -0.349
2.417 0.936 9.666
O Cr Li Sn
12 4 4 2
Direct
0.492 0.645 0.107 O
0.847 0.355 0.107 O
0.992 0.645 0.393 O
0.157 0.000 0.101 O
0.843 0.000 0.899 O
0.657 0.000 0.399 O
0.343 0.000 0.601 O
0.153 0.645 0.893 O
0.008 0.355 0.607 O
0.347 0.355 0.393 O
0.508 0.355 0.893 O
0.653 0.645 0.607 O
0.337 0.673 0.500 Cr
0.663 0.327 0.500 Cr
0.163 0.327 0.000 Cr
0.837 0.673 0.000 Cr
0.657 0.500 0.250 Li
0.843 0.500 0.750 Li
0.343 0.500 0.750 Li
0.157 0.500 0.250 Li
0.500 0.000 0.000 Sn
0.000 0.000 0.500 Sn
```

Summary:
**Energy relative to the elements, uncorrected**: -1.862 eV per atom
**Space group**: Cmce (64)
**Electronic total energy**: -7.333 eV/atom

12.
Computed, not measured: an optimized crystal structure of Li2Cr3SnO8 at the GGA-PBEsol level of DFT.

Cell and atoms, written as POSCAR:
```
Li2Cr3SnO8
1.0
-5.497 1.791 0.715
-3.833 -0.552 -4.352
-4.366 -4.117 0.470
O Cr Li Sn
8 3 2 1
Direct
0.283 0.746 0.725 O
0.717 0.254 0.275 O
0.254 0.254 0.275 O
0.254 0.717 0.275 O
0.746 0.746 0.725 O
0.733 0.733 0.301 O
0.267 0.267 0.699 O
0.746 0.283 0.725 O
0.000 0.500 0.500 Cr
0.500 0.500 0.500 Cr
0.500 0.000 0.500 Cr
0.121 0.121 0.136 Li
0.879 0.879 0.864 Li
0.500 0.500 0.000 Sn
```

Summary:
**Energy relative to the elements, uncorrected**: -1.929 eV per atom
**Fermi-level density of states**: 10.06 states/eV/cell
**Space group**: R-3m (166)
**Electronic total energy**: -7.709 eV/atom